(1)
# TaOs2Au

A relaxed structure of TaOs2Au (PBE, the Alexandria database).

Output
Crystal system   monoclinic
Relative energy among the computed polymorphs   0.132 eV/atom

Geometry as extended XYZ:
```
4
Lattice="-2.347 3.288 -2.650 -4.312 1.323 -1.731 -1.514 3.126 3.447" Properties=species:S:1:pos:R:3 pbc="T T T"
Os -4.039 3.874 -0.352
Ta -6.130 5.802 -0.701
Os -1.562 3.120 3.332
Au -2.043 1.934 -0.234
```

=====

(2)
# TaOs2Au

A relaxed structure of TaOs2Au (PBE, the Alexandria database).

Output
Crystal system   trigonal
Relative energy among the computed polymorphs   0.207 eV/atom

Geometry as extended XYZ:
```
4
Lattice="-4.002 0.653 -8.605 -2.150 -1.394 -9.161 -4.656 -2.028 -8.044" Properties=species:S:1:pos:R:3 pbc="T T T"
Os -10.752 -2.755 -25.680
Ta -5.430 -1.392 -12.969
Os -2.749 -0.705 -6.566
Au -8.086 -2.072 -19.311
```

=====

(3)
# Ta3OsAu

A relaxed structure of Ta3OsAu (PBE, the Alexandria database).

Output
Crystal system   cubic
Relative energy among the computed polymorphs   0.000 eV/atom

Geometry as extended XYZ:
```
5
Lattice="4.822 0.000 0.000 0.000 4.822 0.000 0.000 0.000 4.822" Properties=species:S:1:pos:R:3 pbc="T T T"
Ta 0.000 2.411 0.000
Os 0.000 0.000 0.000
Ta 2.411 0.000 0.000
Ta 0.000 0.000 2.411
Au 2.411 2.411 2.411
```

=====

(4)
# TaTiOsAu2

A relaxed structure of TaTiOsAu2 (PBE, the Alexandria database).

Output
Crystal system   tetragonal

Geometry as extended XYZ:
```
5
Lattice="4.740 0.000 0.000 0.000 4.591 0.000 0.000 0.000 4.740" Properties=species:S:1:pos:R:3 pbc="T T T"
Ti 0.000 0.000 0.000
Os 2.370 2.295 2.370
Au 2.370 0.000 0.000
Ta 0.000 2.295 0.000
Au 0.000 0.000 2.370
```

=====

(5)
# TaVOs2Au

A relaxed structure of TaVOs2Au (PBE, the Alexandria database).

Output
Crystal system   tetragonal

Geometry as extended XYZ:
```
5
Lattice="-3.073 -1.157 3.512 3.382 -2.621 2.096 1.423 3.845 2.512" Properties=species:S:1:pos:R:3 pbc="T T T"
Au 0.000 0.000 0.000
Ta 1.691 -1.310 1.048
Os 0.711 1.923 1.256
Os -1.537 -0.579 1.756
V 0.866 0.034 4.060
```

=====

(6)
# TaOsW2Au

A relaxed structure of TaOsW2Au (PBE, the Alexandria database).

Output
Crystal system   tetragonal

Geometry as extended XYZ:
```
5
Lattice="4.754 0.000 0.000 0.000 4.799 0.000 0.000 0.000 4.754" Properties=species:S:1:pos:R:3 pbc="T T T"
Au 0.000 0.000 0.000
W 2.377 0.000 0.000
W 0.000 0.000 2.377
Ta 0.000 2.400 0.000
Os 2.377 2.400 2.377
```

=====

(7)
# TaZn2OsAu

A relaxed structure of TaZn2OsAu (PBE, the Alexandria database).

Output
Crystal system   tetragonal

Geometry as extended XYZ:
```
5
Lattice="-1.015 1.095 -4.669 -1.645 -4.626 -0.728 -4.512 1.398 1.309" Properties=species:S:1:pos:R:3 pbc="T T T"
Zn -2.256 0.699 0.654
Os -3.586 -1.066 -2.044
Au -0.822 -2.313 -0.364
Zn -0.507 0.548 -2.334
Ta 0.000 0.000 0.000
```

=====

(8)
# Tb2OsAu

A relaxed structure of Tb2OsAu (PBE, the Alexandria database).

Output
Crystal system   tetragonal

Geometry as extended XYZ:
```
4
Lattice="-2.587 2.019 1.007 0.890 -0.493 3.278 4.478 5.903 -0.328" Properties=species:S:1:pos:R:3 pbc="T T T"
Tb 1.021 1.346 -0.075
Tb 3.456 4.556 -0.253
Os -0.848 0.763 2.142
Au 1.390 3.714 1.979
```

=====

(9)
# Tb6Os2Au

A relaxed structure of Tb6Os2Au (PBE, the Alexandria database).

Output
Crystal system   orthorhombic

Geometry as extended XYZ:
```
18
Lattice="7.891 -0.080 -3.011 -4.161 6.994 -2.261 -0.212 0.080 8.444" Properties=species:S:1:pos:R:3 pbc="T T T"
Os 2.501 0.000 1.769
Tb 3.794 2.477 2.781
Os 1.339 4.308 -1.892
Tb 0.445 1.735 2.590
Os 5.178 0.000 3.663
Tb 4.098 5.006 -2.829
Tb 5.270 0.090 0.694
Tb 1.091 5.086 3.638
Tb 5.301 1.655 -2.569
Au 0.000 0.000 0.000
Au -2.187 3.537 3.091
Tb 2.427 1.908 -0.466
Tb -0.580 1.988 6.000
Tb -1.752 6.904 2.477
Tb 3.072 5.259 0.581
Tb -1.783 5.339 5.740
Tb -0.276 4.517 0.390
Os 2.179 2.686 5.063
```

=====

(10)
# Tb8OsAu2

A relaxed structure of Tb8OsAu2 (PBE, the Alexandria database).

Output
Crystal system   monoclinic
Relative energy among the computed polymorphs   0.093 eV/atom

Geometry as extended XYZ:
```
11
Lattice="6.013 -0.489 -1.373 -2.719 7.088 -4.335 -0.458 -1.451 8.608" Properties=species:S:1:pos:R:3 pbc="T T T"
Au 0.671 4.447 -1.259
Tb -0.191 3.106 4.260
Tb 5.173 -0.422 4.679
Tb 3.285 0.266 1.917
Tb -0.710 5.067 1.288
Au 1.643 0.779 4.302
Tb 2.325 3.615 1.978
Tb -0.223 1.414 0.972
Os 1.602 -0.033 -0.302
Tb 3.776 4.853 -3.319
Tb 2.733 2.350 -1.243
```

=====

(11)
# Tb8OsAu2

A relaxed structure of Tb8OsAu2 (PBE, the Alexandria database).

Output
Crystal system   monoclinic
Relative energy among the computed polymorphs   0.000 eV/atom

Geometry as extended XYZ:
```
11
Lattice="5.141 0.000 0.000 0.000 6.859 0.187 -2.571 -2.721 8.305" Properties=species:S:1:pos:R:3 pbc="T T T"
Tb 0.000 1.649 6.926
Au 2.571 0.226 5.275
Tb 2.571 -1.158 7.865
Au 0.000 3.912 3.217
Tb 0.000 5.296 0.627
Tb 2.571 2.489 1.566
Tb 2.571 3.099 5.099
Tb 0.000 -1.623 5.639
Tb 0.000 1.039 3.393
Os 2.571 0.000 0.000
Tb 2.571 5.761 2.853
```

=====

(12)
# TcOsAu2

A relaxed structure of TcOsAu2 (PBE, the Alexandria database).

Output
Crystal system   cubic
Relative energy among the computed polymorphs   0.556 eV/atom

Geometry as extended XYZ:
```
4
Lattice="-0.083 2.262 -3.922 -3.936 1.490 -1.671 -0.910 4.436 -0.036" Properties=species:S:1:pos:R:3 pbc="T T T"
Tc -3.697 6.141 -4.222
Au 0.000 0.000 0.000
Os -2.465 4.094 -2.814
Au -1.232 2.047 -1.407
```

=====

no.,energy (eV/atom)
1,-9.245
2,-9.170
3,-8.907
4,-5.713
5,-6.667
6,-7.690
7,-3.751
8,-6.470
9,-6.290
10,-5.279
11,-5.371
12,-6.308